(1)
Computed, not measured: crystalline TlCrRu2 at its relaxed geometry at the PBE level of DFT.

a = 4.7296 Å, b = 4.7296 Å, c = 5.0080 Å
α = 102.71°, β = 102.71°, γ = 35.76°
Last column: nearest neighbours and their distance in Å.
Fractional coordinates of all 4 atoms:
Tl1 0.0000 0.0000 0.0000  6 Ru 2.81-2.92, 4 Cr 2.89, 2 Tl 2.90
Cr1 0.5000 0.5000 0.5000  6 Ru 2.55-2.85
Ru1 0.2307 0.2307 0.7062  3 Cr 2.55-2.85, 2 Ru 2.61, 1 Tl 2.81
Ru2 0.7693 0.7693 0.2938  3 Cr 2.55-2.85, 2 Ru 2.61, 1 Tl 2.81

Properties
**Energy above the lowest structure with this stoichiometry**: 0.112 eV per atom
**M_tot**: 1.9 μB/f.u.

=====

(2)
Computed, not measured: crystalline TlCrRu at its relaxed geometry at the PBE level of DFT.

a = 4.3639 Å, b = 4.3639 Å, c = 3.1207 Å
α = 90.00°, β = 90.00°, γ = 120.00°
Last column: nearest neighbours and their distance in Å.
Fractional coordinates of all 3 atoms:
Tl1 0.0000 0.0000 0.0000  6 Cr 2.96, 6 Ru 2.96, 2 Tl 3.12
Cr1 0.6667 0.3333 0.5000  3 Ru 2.52
Ru1 0.3333 0.6667 0.5000  3 Cr 2.52

Properties
**Energy above the lowest structure with this stoichiometry**: 0.189 eV per atom
**M_tot**: 2.6 μB/f.u.

=====

(3)
Computed, not measured: crystalline TlCr3Ru at its relaxed geometry at the PBE level of DFT.

a = 4.7414 Å, b = 4.7414 Å, c = 4.7414 Å
α = 90.00°, β = 90.00°, γ = 90.00°
Last column: nearest neighbours and their distance in Å.
Fractional coordinates of all 5 atoms:
Tl1 0.0000 0.0000 0.0000  12 Cr 3.35
Cr1 0.0000 0.5000 0.5000  2 Ru 2.37
Cr2 0.5000 0.0000 0.5000  2 Ru 2.37
Cr3 0.5000 0.5000 0.0000  2 Ru 2.37
Ru1 0.5000 0.5000 0.5000  6 Cr 2.37

Properties
**Energy above the lowest structure with this stoichiometry**: 0.000 eV per atom
**M_tot**: 9.7 μB/f.u.

=====

(4)
Computed, not measured: crystalline TlCrRu at its relaxed geometry at the PBE level of DFT.

a = 4.3970 Å, b = 4.3970 Å, c = 4.3970 Å
α = 60.00°, β = 60.00°, γ = 60.00°
Last column: nearest neighbours and their distance in Å.
Fractional coordinates of all 3 atoms:
Tl1 0.0000 0.0000 0.0000  4 Ru 2.69
Cr1 0.5000 0.5000 0.5000  4 Ru 2.69
Ru1 0.2500 0.2500 0.2500  4 Cr 2.69, 4 Tl 2.69

Properties
**Energy above the lowest structure with this stoichiometry**: 0.340 eV per atom
**M_tot**: 2.9 μB/f.u.

=====

(5)
Computed, not measured: crystalline TlCrRu2 at its relaxed geometry at the PBE level of DFT.

a = 5.0013 Å, b = 5.0013 Å, c = 5.0013 Å
α = 134.35°, β = 134.35°, γ = 66.55°
Last column: nearest neighbours and their distance in Å.
Fractional coordinates of all 4 atoms:
Tl1 0.0000 0.0000 0.0000  8 Ru 2.74-2.85, 4 Cr 2.85
Cr1 0.7500 0.2500 0.5000  8 Ru 2.74-2.85, 4 Tl 2.85
Ru1 0.2500 0.7500 0.5000  4 Cr 2.74, 4 Tl 2.85, 4 Ru 2.85
Ru2 0.5000 0.5000 0.0000  4 Tl 2.74, 4 Cr 2.85, 4 Ru 2.85

Properties
**Energy above the lowest structure with this stoichiometry**: 0.178 eV per atom
**M_tot**: 1.3 μB/f.u.

=====

(6)
Computed, not measured: crystalline TlCr2Ru at its relaxed geometry at the PBE level of DFT.

a = 8.8517 Å, b = 8.8517 Å, c = 8.8517 Å
α = 19.36°, β = 19.36°, γ = 19.36°
Last column: nearest neighbours and their distance in Å.
Fractional coordinates of all 4 atoms:
Tl1 0.0000 0.0000 0.0000  6 Cr 2.97, 6 Tl 2.98
Cr1 0.2405 0.2405 0.2405  3 Ru 2.58
Cr2 0.7595 0.7595 0.7595  3 Ru 2.58
Ru1 0.5000 0.5000 0.5000  6 Cr 2.58

Properties
**Energy above the lowest structure with this stoichiometry**: 0.259 eV per atom
**M_tot**: 5.1 μB/f.u.

=====

(7)
Computed, not measured: crystalline TlCrRu2 at its relaxed geometry at the PBE level of DFT.

a = 5.3634 Å, b = 5.3634 Å, c = 5.3634 Å
α = 148.50°, β = 127.95°, γ = 62.13°
Last column: nearest neighbours and their distance in Å.
Fractional coordinates of all 4 atoms:
Tl1 0.0000 0.0000 0.0000  4 Cr 2.77, 2 Tl 2.91, 4 Ru 2.94
Cr1 0.5000 0.5000 0.0000  4 Ru 2.50, 4 Tl 2.77
Ru1 0.2785 0.7785 0.5000  2 Cr 2.50
Ru2 0.7215 0.2215 0.5000  2 Cr 2.50

Properties
**Energy above the lowest structure with this stoichiometry**: 0.198 eV per atom
**M_tot**: 1.6 μB/f.u.

=====

(8)
Computed, not measured: crystalline TlCrRu2 at its relaxed geometry at the PBE level of DFT.

a = 4.7086 Å, b = 2.9355 Å, c = 4.9199 Å
α = 90.00°, β = 110.07°, γ = 90.00°
Last column: nearest neighbours and their distance in Å.
Fractional coordinates of all 4 atoms:
Tl1 0.0000 0.0000 0.0000  6 Ru 2.76-2.77, 4 Cr 2.86, 2 Tl 2.94
Cr1 0.0000 0.5000 0.5000  6 Ru 2.76-2.77, 4 Tl 2.86, 2 Cr 2.94
Ru1 0.5000 0.0000 0.5000  2 Tl 2.76, 4 Cr 2.77, 6 Ru 2.86-2.94
Ru2 0.5000 0.5000 0.0000  2 Cr 2.76, 4 Tl 2.77, 6 Ru 2.86-2.94

Properties
**Energy above the lowest structure with this stoichiometry**: 0.246 eV per atom
**M_tot**: 2.6 μB/f.u.

=====

(9)
Computed, not measured: crystalline TlCr2Ru at its relaxed geometry at the PBE level of DFT.

a = 2.8786 Å, b = 3.8676 Å, c = 5.5788 Å
α = 90.00°, β = 90.00°, γ = 90.00°
Last column: nearest neighbours and their distance in Å.
Fractional coordinates of all 4 atoms:
Tl1 0.0000 0.0000 0.0000  2 Ru 2.79, 2 Tl 2.88, 8 Cr 2.98
Cr1 0.5000 0.5000 0.3149  1 Cr 2.06
Cr2 0.5000 0.5000 0.6851  1 Cr 2.06
Ru1 0.0000 0.0000 0.5000  8 Cr 2.62, 2 Tl 2.79, 2 Ru 2.88

Properties
**Energy above the lowest structure with this stoichiometry**: 0.093 eV per atom
**M_tot**: 0.0 μB/f.u.

=====

(10)
Computed, not measured: crystalline TlCr2Ru at its relaxed geometry at the PBE level of DFT.

a = 4.8341 Å, b = 4.8341 Å, c = 4.8007 Å
α = 105.74°, β = 105.74°, γ = 35.69°
Last column: nearest neighbours and their distance in Å.
Fractional coordinates of all 4 atoms:
Tl1 0.0000 0.0000 0.0000  7 Cr 2.82-2.90, 3 Ru 2.88-2.91, 2 Tl 2.96
Cr1 0.2273 0.2273 0.7110  2 Cr 2.48, 2 Ru 2.58
Cr2 0.5063 0.5063 0.5026  2 Cr 2.48, 2 Ru 2.57
Ru1 0.7714 0.7714 0.3024  5 Cr 2.57-2.87, 1 Tl 2.88

Properties
**Energy above the lowest structure with this stoichiometry**: 0.099 eV per atom
**M_tot**: 0.1 μB/f.u.

=====

(11)
Computed, not measured: crystalline TlCrRu2 at its relaxed geometry at the PBE level of DFT.

a = 9.0449 Å, b = 9.0449 Å, c = 9.0449 Å
α = 18.14°, β = 18.14°, γ = 18.14°
Last column: nearest neighbours and their distance in Å.
Fractional coordinates of all 4 atoms:
Tl1 0.0000 0.0000 0.0000  6 Tl 2.85, 3 Cr 2.90, 3 Ru 2.93
Cr1 0.7563 0.7563 0.7563  3 Ru 2.55, 6 Cr 2.85
Ru1 0.2427 0.2427 0.2427  9 Ru 2.70-2.85, 3 Tl 2.93
Ru2 0.4960 0.4960 0.4960  3 Cr 2.55, 9 Ru 2.70-2.85

Properties
**Energy above the lowest structure with this stoichiometry**: 0.304 eV per atom
**M_tot**: 0.4 μB/f.u.

=====

(12)
Computed, not measured: crystalline TlCr3Ru at its relaxed geometry at the PBE level of DFT.

a = 4.6923 Å, b = 4.6923 Å, c = 4.6923 Å
α = 90.00°, β = 90.00°, γ = 90.00°
Last column: nearest neighbours and their distance in Å.
Fractional coordinates of all 5 atoms:
Tl1 0.0000 0.0000 0.0000  6 Cr 2.35
Cr1 0.0000 0.0000 0.5000  2 Tl 2.35
Cr2 0.0000 0.5000 0.0000  2 Tl 2.35
Cr3 0.5000 0.0000 0.0000  2 Tl 2.35
Ru1 0.5000 0.5000 0.5000  12 Cr 3.32

Properties
**Energy above the lowest structure with this stoichiometry**: 1.749 eV per atom
**M_tot**: 1.9 μB/f.u.

=====

Number 1: formation energy 0.45 eV/atom. Number 2: formation energy 0.63 eV/atom. Number 3: formation energy 1.14 eV/atom. Number 4: formation energy 0.78 eV/atom. Number 5: formation energy 0.52 eV/atom. Number 6: formation energy 0.66 eV/atom. Number 7: formation energy 0.54 eV/atom. Number 8: formation energy 0.58 eV/atom. Number 9: formation energy 0.49 eV/atom. Number 10: formation energy 0.50 eV/atom. Number 11: formation energy 0.64 eV/atom. Number 12: formation energy 2.89 eV/atom.